The following is a DFT calculation (PBE) of a relaxed structure of SmPu2BrO4.

energy relative to the elements, uncorrected: -66.41 kcal/mol of atoms
volume: 145.6 Å³/f.u.

Cell lengths 3.987, 3.987, 9.161 Å; angles 90.00, 90.00, 90.00 degrees
Positions (direct):
Sm  0.000  0.000  0.000
Pu  0.500  0.500  0.265
Pu  0.500  0.500  0.735
Br  0.000  0.000  0.500
O  0.000  0.500  0.157
O  0.500  0.000  0.843
O  0.500  0.000  0.157
O  0.000  0.500  0.843